# 1
## KSb2Se2S (PBE-GGA)

Data for a geometry-optimized KSb2Se2S structure.

Properties
The calculation puts the magnetic moment at 0.00 μB/cell. The uncorrected formation energy is -8.66 kcal/mol of atoms. The value obtained for the volume is 34.53 Å³ per atom. The crystal system is monoclinic.

Cell: 6.9846 7.0510 8.6427 Å, 90.00 103.23 90.00°
Space group P2_1/m (No. 11)
One atom of each set of equivalent atoms:
K1 0.0324 0.2500 0.3191 [2 per cell]
Sb1 0.4907 0.0104 0.7591 [4 per cell]
Se1 0.1930 0.2500 0.7120 [2 per cell]
Se2 0.3714 0.7500 0.5021 [2 per cell]
S1 0.3788 0.7500 0.9511 [2 per cell]

---

# 2
## KSiSbS4 (PBE-GGA)

Data for a geometry-optimized KSiSbS4 structure.

Properties
The calculation puts the magnetic moment at 0.00 μB/cell. The uncorrected formation energy is -16.60 kcal/mol of atoms. The value obtained for the volume is 27.24 Å³ per atom. The crystal system is monoclinic.

Cell: 6.7827 6.7177 8.7937 Å, 90.00 107.87 90.00°
Space group P2_1/m (No. 11)
One atom of each set of equivalent atoms:
K1 0.2219 0.2500 0.4462 [2 per cell]
Si1 0.2548 0.7500 0.1765 [2 per cell]
Sb1 0.2628 0.2500 0.9929 [2 per cell]
S1 0.0666 0.7500 0.9282 [2 per cell]
S2 0.0684 0.7500 0.3254 [2 per cell]
S3 0.4623 0.9999 0.2159 [4 per cell]